First-principles (GGA-PBE) data for a relaxed TaReCl2 crystal, as listed in the Alexandria database.

a b c (Å): 2.8443 4.1066 5.6771
angles (deg): 90.00 90.00 90.00
Positions (direct):
Re 0.5000 0.5000 0.2500
Cl 0.0000 0.0000 0.9947
Cl 0.0000 0.0000 0.5053
Ta 0.5000 0.5000 0.7500

## Properties
energy above the most stable polymorph in this dataset	1708	meV/atom
volume	16.6	Å³/atom
VASP energy	-5.79	eV/atom
formation energy (no corrections)	1.21	eV/atom